Y2Mg, relaxed, DFT PBE; ρ = 3.76 g/cm³; energy relative to the elements = -0.022 eV/atom
1.0
12.8193 0.0000 0.0000
0.0000 3.5716 0.0000
-2.0903 0.0000 7.7924
Y Mg
8 4
Direct
0.0217 0.0000 0.2897 Y
0.1968 0.5000 0.6401 Y
0.3032 0.0000 0.3599 Y
0.4783 0.5000 0.7103 Y
0.5217 0.5000 0.2897 Y
0.6968 0.0000 0.6401 Y
0.8032 0.5000 0.3599 Y
0.9783 0.0000 0.7103 Y
0.1448 0.5000 0.0276 Mg
0.3552 0.0000 0.9724 Mg
0.6448 0.0000 0.0276 Mg
0.8552 0.5000 0.9724 Mg